An optimized crystal structure of SrBeRu, computed with PBE-GGA.

Unit cell a=5.722 b=5.722 c=5.722 alpha=146.95 beta=146.95 gamma=47.44
Positions (direct):
1 Sr 0.000 0.000 0.000
2 Be 0.264 0.264 0.000
3 Ru 0.722 0.722 0.000

formation energy	0.1383	eV/atom
E_tot	-4.7563	eV/atom
density	5.9	g cm⁻³

---

An optimized crystal structure of Zr3GeN, computed with PBE-GGA.

Unit cell a=7.498 b=7.498 c=7.417 alpha=100.43 beta=100.43 gamma=28.20
Positions (direct):
1 Zr 0.051 0.051 0.335
2 Zr 0.155 0.155 0.948
3 Zr 0.315 0.315 0.380
4 Zr 0.685 0.685 0.620
5 Zr 0.845 0.845 0.052
6 Zr 0.949 0.949 0.665
7 Ge 0.326 0.326 0.769
8 Ge 0.674 0.674 0.231
9 N 0.094 0.094 0.642
10 N 0.906 0.906 0.358

E_tot	-8.5543	eV/atom
energy relative to the elements, uncorrected	-404	kJ/mol of formula units
density	6.2	g cm⁻³

---

An optimized crystal structure of IrWBr2, computed with PBE-GGA.

Unit cell a=7.205 b=7.205 c=4.531 alpha=95.33 beta=95.33 gamma=24.74
Positions (direct):
1 Ir 0.000 0.000 0.000
2 W 0.500 0.500 0.500
3 Br 0.143 0.143 0.705
4 Br 0.857 0.857 0.295

E_tot	-5.7607	eV/atom
energy relative to the elements, uncorrected	204	kJ/mol of formula units
density	9.1	g cm⁻³